{"formula": "Na9Hg2Au", "functional": "PBE-GGA", "state": "relaxed", "delta_e_f_ev_per_atom": -0.145, "dos_at_fermi_per_ev_cell": 4.18, "space_group": "No. 2", "e_tot_ev_per_cell": -17.49, "lattice": [[-1.0336, -6.6526, 6.8437], [1.1961, -6.8271, 0.8419], [8.2784, -6.0452, 4.9711]], "species": ["Na", "Na", "Na", "Na", "Na", "Na", "Na", "Na", "Na", "Hg", "Hg", "Au"], "frac_coords": [[0.2516, 0.4688, 0.9135], [0.7484, 0.5312, 0.0865], [0.5000, 0.5000, 0.5000], [0.8142, 0.2313, 0.7412], [0.4336, 0.8757, 0.8324], [0.9801, 0.6163, 0.6787], [0.1858, 0.7687, 0.2588], [0.0199, 0.3837, 0.3213], [0.5664, 0.1243, 0.1676], [0.2893, 0.0515, 0.5612], [0.7107, 0.9485, 0.4388], [0.0000, 0.0000, 0.0000]]}

***

{"formula": "KRhBrO2", "functional": "PBE-GGA", "state": "relaxed", "dos_at_fermi_per_ev_cell": 20.72, "space_group": "No. 123", "raw_formation_energy_ev_per_atom": 1.1142, "e_tot_ev_per_cell": -14.47, "lattice": [[-0.2646, -4.1990, 1.6444], [6.4134, -1.8458, -3.6811], [2.4263, 1.2560, 3.5974]], "species": ["K", "Rh", "O", "O", "Br"], "frac_coords": [[0.0000, 0.0000, 0.0000], [0.0000, 0.5000, 0.0000], [0.0000, 0.0000, 0.5000], [0.5000, 0.0000, 0.0000], [0.5000, 0.5000, 0.5000]]}

***

Number 2 is which compound?
KRhBrO2